## KDyLu (PBE-GGA)

Data for a geometry-optimized KDyLu structure.

Unit cell a=8.2469 b=8.2469 c=8.2469 alpha=90.00 beta=90.00 gamma=90.00
Closest atoms and distances in Å follow each position.
Space group F-43m (No. 216)
Symmetry-distinct sites (fractional):
K 0.0000 0.0000 0.0000 (multiplicity 4)  4 Lu 3.57
Dy 0.0000 0.0000 0.5000 (multiplicity 4)  4 Lu 3.57
Lu 0.2500 0.2500 0.7500 (multiplicity 4)  4 K 3.57, 4 Dy 3.57

As for the crystal system: cubic. The calculation puts the energy relative to the lowest polymorph listed for this composition at 0 meV/atom. The value obtained for the density is 4.5 g/cm3. For the total energy, the calculation gives -2.23 eV/atom.